# 1
# HgTeOs3, single point on PBEsol structure, DFT SCAN
# Formation energy (no corrections) (eV/atom): 2.518
data_HgTeOs3
_cell_length_a 4.764
_cell_length_b 4.764
_cell_length_c 4.764
_cell_angle_alpha 90.00
_cell_angle_beta 90.00
_cell_angle_gamma 90.00
_symmetry_space_group_name_H-M 'P 1'
_symmetry_Int_Tables_number 1
loop_
_symmetry_equiv_pos_as_xyz
'x,y,z'
loop_
_atom_site_label
_atom_site_type_symbol
_atom_site_fract_x
_atom_site_fract_y
_atom_site_fract_z
_atom_site_occupancy
Hg1 Hg 0.000 0.000 0.000 1
Te1 Te 0.500 0.500 0.500 1
Os1 Os 0.000 0.500 0.500 1
Os2 Os 0.500 0.000 0.500 1
Os3 Os 0.500 0.500 0.000 1


# 2
# Hg2TeOs, single point on PBEsol structure, DFT SCAN
# Formation energy (no corrections) (eV/atom): 0.851
data_Hg2TeOs
_cell_length_a 10.943
_cell_length_b 10.943
_cell_length_c 10.943
_cell_angle_alpha 15.73
_cell_angle_beta 15.73
_cell_angle_gamma 15.73
_symmetry_space_group_name_H-M 'P 1'
_symmetry_Int_Tables_number 1
loop_
_symmetry_equiv_pos_as_xyz
'x,y,z'
loop_
_atom_site_label
_atom_site_type_symbol
_atom_site_fract_x
_atom_site_fract_y
_atom_site_fract_z
_atom_site_occupancy
Hg1 Hg 0.237 0.237 0.237 1
Hg2 Hg 0.763 0.763 0.763 1
Te1 Te 0.000 0.000 0.000 1
Os1 Os 0.500 0.500 0.500 1


# 3
# HgTe2Os, single point on PBEsol structure, DFT SCAN
# Formation energy (no corrections) (eV/atom): 1.098
data_HgTe2Os
_cell_length_a 4.374
_cell_length_b 4.374
_cell_length_c 4.395
_cell_angle_alpha 90.00
_cell_angle_beta 90.00
_cell_angle_gamma 90.00
_symmetry_space_group_name_H-M 'P 1'
_symmetry_Int_Tables_number 1
loop_
_symmetry_equiv_pos_as_xyz
'x,y,z'
loop_
_atom_site_label
_atom_site_type_symbol
_atom_site_fract_x
_atom_site_fract_y
_atom_site_fract_z
_atom_site_occupancy
Hg1 Hg 0.000 0.000 0.000 1
Te1 Te 0.000 0.500 0.500 1
Te2 Te 0.500 0.000 0.500 1
Os1 Os 0.500 0.500 0.000 1


# 4
# Hg2TeOs, single point on PBEsol structure, DFT SCAN
# Formation energy (no corrections) (eV/atom): 0.629
data_Hg2TeOs
_cell_length_a 3.068
_cell_length_b 3.068
_cell_length_c 10.486
_cell_angle_alpha 90.00
_cell_angle_beta 90.00
_cell_angle_gamma 120.52
_symmetry_space_group_name_H-M 'P 1'
_symmetry_Int_Tables_number 1
loop_
_symmetry_equiv_pos_as_xyz
'x,y,z'
loop_
_atom_site_label
_atom_site_type_symbol
_atom_site_fract_x
_atom_site_fract_y
_atom_site_fract_z
_atom_site_occupancy
Hg1 Hg 0.000 0.000 0.000 1
Hg2 Hg 0.500 0.500 0.262 1
Te1 Te 0.500 0.500 0.688 1
Os1 Os 0.000 0.000 0.487 1


# 5
# HgTeOs, single point on PBEsol structure, DFT SCAN
# Formation energy (no corrections) (eV/atom): 0.841
data_HgTeOs
_cell_length_a 8.168
_cell_length_b 7.877
_cell_length_c 3.048
_cell_angle_alpha 84.48
_cell_angle_beta 73.72
_cell_angle_gamma 21.80
_symmetry_space_group_name_H-M 'P 1'
_symmetry_Int_Tables_number 1
loop_
_symmetry_equiv_pos_as_xyz
'x,y,z'
loop_
_atom_site_label
_atom_site_type_symbol
_atom_site_fract_x
_atom_site_fract_y
_atom_site_fract_z
_atom_site_occupancy
Hg1 Hg 0.000 0.000 0.000 1
Te1 Te 0.291 0.291 0.709 1
Os1 Os 0.654 0.654 0.346 1


# 6
# ZnHg2TeOs, single point on PBEsol structure, DFT SCAN
# Formation energy (no corrections) (eV/atom): 0.603
data_ZnHg2TeOs
_cell_length_a 5.321
_cell_length_b 5.321
_cell_length_c 4.884
_cell_angle_alpha 90.00
_cell_angle_beta 90.00
_cell_angle_gamma 90.00
_symmetry_space_group_name_H-M 'P 1'
_symmetry_Int_Tables_number 1
loop_
_symmetry_equiv_pos_as_xyz
'x,y,z'
loop_
_atom_site_label
_atom_site_type_symbol
_atom_site_fract_x
_atom_site_fract_y
_atom_site_fract_z
_atom_site_occupancy
Zn1 Zn 0.000 0.000 0.000 1
Hg1 Hg 0.000 0.500 0.500 1
Hg2 Hg 0.500 0.000 0.500 1
Te1 Te 0.500 0.500 0.000 1
Os1 Os 0.500 0.500 0.500 1


Please write out number 3 again, unchanged.
# HgTe2Os, single point on PBEsol structure, DFT SCAN
# Formation energy (no corrections) (eV/atom): 1.098
data_HgTe2Os
_cell_length_a 4.374
_cell_length_b 4.374
_cell_length_c 4.395
_cell_angle_alpha 90.00
_cell_angle_beta 90.00
_cell_angle_gamma 90.00
_symmetry_space_group_name_H-M 'P 1'
_symmetry_Int_Tables_number 1
loop_
_symmetry_equiv_pos_as_xyz
'x,y,z'
loop_
_atom_site_label
_atom_site_type_symbol
_atom_site_fract_x
_atom_site_fract_y
_atom_site_fract_z
_atom_site_occupancy
Hg1 Hg 0.000 0.000 0.000 1
Te1 Te 0.000 0.500 0.500 1
Te2 Te 0.500 0.000 0.500 1
Os1 Os 0.500 0.500 0.000 1


formation energy (no corrections) of number 3 (HgTe2Os)?
1.098 eV/atom


The highest formation energy (no corrections) belongs to which entry?
HgTeOs3


Which formula does entry 5 have?
HgTeOs